NiSnIO6 (GGA+U, relaxed); electronic total energy = -4.999 eV per atom; crystal system = trigonal; calculated volume = 11.901 Å³ per atom
1.0
5.1982 0.0000 0.0000
-2.5991 4.5017 0.0000
0.0000 0.0000 9.1543
Ni Sn I O
2 2 2 12
Cartesian
0.0000 3.0012 2.2886
2.5991 1.5006 6.8657
0.0000 0.0000 0.0000
0.0000 0.0000 4.5771
0.0000 3.0012 6.8657
2.5991 1.5006 2.2886
-0.8482 1.5632 5.7606
-1.6694 2.9856 7.9708
0.8482 1.5632 7.9708
-0.8212 4.4547 5.7606
1.7779 0.0471 1.1835
0.9297 1.5162 3.3936
1.6694 2.9856 5.7606
0.8212 4.4547 7.9708
3.4203 0.0471 3.3936
1.7509 2.9385 1.1835
4.2685 1.5162 1.1835
3.4473 2.9385 3.3936